## In3HgAu (PBE)

Data for an optimized crystal structure of In3HgAu. Values from VASP.

Cell and atoms, written as Quantum ESPRESSO input:
```
&SYSTEM
  ibrav = 0, nat = 5, ntyp = 3
/
ATOMIC_SPECIES
Au 196.97 Au.upf
Hg 200.59 Hg.upf
In 114.82 In.upf
CELL_PARAMETERS angstrom
5.402 0.000 0.000
0.000 5.402 0.000
0.000 0.000 5.402
ATOMIC_POSITIONS crystal
Au 0.000 0.000 0.000
Hg 0.500 0.500 0.500
In 0.000 0.500 0.000
In 0.000 0.000 0.500
In 0.500 0.000 0.000
```

Output
Electronic total energy (eV per atom): -2.298
V (A^3/atom): 31.53
Spin magnetization (μB per atom): 0.000
Distance to the lowest polymorph of the same formula (meV/atom): 99.2



## LaYCl (PBE)

Data for an optimized crystal structure of LaYCl. Values from VASP.

Cell and atoms, written as Quantum ESPRESSO input:
```
&SYSTEM
  ibrav = 0, nat = 3, ntyp = 3
/
ATOMIC_SPECIES
Cl 35.45 Cl.upf
La 138.91 La.upf
Y 88.91 Y.upf
CELL_PARAMETERS angstrom
-0.220 2.717 -2.541
-0.181 -3.567 -1.065
-7.370 0.139 0.787
ATOMIC_POSITIONS crystal
Cl 0.000 0.000 0.978
La 0.667 0.333 0.318
Y 0.333 0.667 0.704
```

Output
Electronic total energy (eV per atom): -5.333
V (A^3/atom): 29.72
Spin magnetization (μB per atom): 0.170
Distance to the lowest polymorph of the same formula (meV/atom): 21.2
Uncorrected formation energy (kJ/mol of formula units): -266.3



## Zr8GaCo2 (PBE)

Data for an optimized crystal structure of Zr8GaCo2. Values from VASP.

Cell and atoms, written as Quantum ESPRESSO input:
```
&SYSTEM
  ibrav = 0, nat = 11, ntyp = 3
/
ATOMIC_SPECIES
Co 58.93 Co.upf
Ga 69.72 Ga.upf
Zr 91.22 Zr.upf
CELL_PARAMETERS angstrom
4.658 0.071 -0.767
-1.630 6.591 -2.946
0.176 -0.230 7.396
ATOMIC_POSITIONS crystal
Co 0.530 0.714 0.336
Co 0.530 0.336 0.714
Ga 0.990 0.003 0.003
Zr 0.557 0.323 0.079
Zr 0.557 0.079 0.323
Zr 0.180 0.394 0.394
Zr 0.002 0.223 0.741
Zr 0.002 0.741 0.223
Zr 0.816 0.617 0.617
Zr 0.419 0.921 0.683
Zr 0.419 0.683 0.921
```

Output
Electronic total energy (eV per atom): -7.897
V (A^3/atom): 20.48
Spin magnetization (μB per atom): 0.000



## Ho7Er2Tm4 (PBE)

Data for an optimized crystal structure of Ho7Er2Tm4. Values from VASP.

Cell and atoms, written as Quantum ESPRESSO input:
```
&SYSTEM
  ibrav = 0, nat = 13, ntyp = 3
/
ATOMIC_SPECIES
Ho 164.93 Ho.upf
Er 167.26 Er.upf
Tm 168.93 Tm.upf
CELL_PARAMETERS angstrom
5.991 0.000 0.000
-2.996 5.189 0.000
0.000 0.000 13.047
ATOMIC_POSITIONS crystal
Ho 0.000 0.643 0.783
Ho 0.000 0.357 0.217
Ho 0.000 0.000 0.000
Ho 0.643 0.000 0.783
Ho 0.357 0.000 0.217
Ho 0.643 0.643 0.217
Ho 0.357 0.357 0.783
Er 0.667 0.333 0.000
Er 0.333 0.667 0.000
Tm 0.000 0.000 0.606
Tm 0.000 0.000 0.394
Tm 0.667 0.333 0.500
Tm 0.333 0.667 0.500
```

Output
Electronic total energy (eV per atom): -4.358
V (A^3/atom): 31.20
Spin magnetization (μB per atom): 0.000



## Pr6Nd (PBE)

Data for an optimized crystal structure of Pr6Nd. Values from VASP.

Cell and atoms, written as Quantum ESPRESSO input:
```
&SYSTEM
  ibrav = 0, nat = 7, ntyp = 2
/
ATOMIC_SPECIES
Pr 140.91 Pr.upf
Nd 144.24 Nd.upf
CELL_PARAMETERS angstrom
7.202 0.000 0.000
-2.401 6.790 0.000
-2.401 -3.395 5.881
ATOMIC_POSITIONS crystal
Pr 0.250 0.750 0.500
Pr 0.500 0.750 0.250
Pr 0.250 0.500 0.750
Pr 0.750 0.250 0.500
Pr 0.500 0.250 0.750
Pr 0.750 0.500 0.250
Nd 0.000 0.000 0.000
```

Output
Electronic total energy (eV per atom): -3.652
V (A^3/atom): 41.08
Spin magnetization (μB per atom): 0.000
Distance to the lowest polymorph of the same formula (meV/atom): 1014.3



## OsSe (PBE)

Data for an optimized crystal structure of OsSe. Values from VASP.

Cell and atoms, written as Quantum ESPRESSO input:
```
&SYSTEM
  ibrav = 0, nat = 2, ntyp = 2
/
ATOMIC_SPECIES
Os 190.23 Os.upf
Se 78.96 Se.upf
CELL_PARAMETERS angstrom
-0.057 2.554 1.619
-2.575 -1.168 -1.073
-0.433 -2.159 3.391
ATOMIC_POSITIONS crystal
Os 0.000 0.000 0.000
Se 0.667 0.333 0.500
```

Output
Electronic total energy (eV per atom): -6.487
V (A^3/atom): 16.01
Spin magnetization (μB per atom): 0.000
Uncorrected formation energy (kJ/mol of formula units): 167.9



## SrMg2Al9 (PBE)

Data for an optimized crystal structure of SrMg2Al9. Values from VASP.

Cell and atoms, written as Quantum ESPRESSO input:
```
&SYSTEM
  ibrav = 0, nat = 12, ntyp = 3
/
ATOMIC_SPECIES
Sr 87.62 Sr.upf
Mg 24.30 Mg.upf
Al 26.98 Al.upf
CELL_PARAMETERS angstrom
5.288 0.000 1.574
2.410 4.707 1.574
0.018 0.011 9.608
ATOMIC_POSITIONS crystal
Sr 0.000 0.000 0.000
Mg 0.856 0.856 0.433
Mg 0.144 0.144 0.567
Al 0.665 0.665 0.005
Al 0.335 0.335 0.995
Al 0.500 0.500 0.500
Al 0.413 0.413 0.256
Al 0.919 0.413 0.256
Al 0.413 0.919 0.256
Al 0.587 0.587 0.744
Al 0.587 0.081 0.744
Al 0.081 0.587 0.744
```

Output
Electronic total energy (eV per atom): -3.268
V (A^3/atom): 19.91
Spin magnetization (μB per atom): 0.000



## Pr6AlIn2 (PBE)

Data for an optimized crystal structure of Pr6AlIn2. Values from VASP.

Cell and atoms, written as Quantum ESPRESSO input:
```
&SYSTEM
  ibrav = 0, nat = 9, ntyp = 3
/
ATOMIC_SPECIES
Pr 140.91 Pr.upf
Al 26.98 Al.upf
In 114.82 In.upf
CELL_PARAMETERS angstrom
4.615 0.000 0.000
0.000 8.503 0.000
0.000 -4.251 7.365
ATOMIC_POSITIONS crystal
Pr 0.500 0.596 0.000
Pr 0.500 0.404 0.404
Pr 0.500 0.000 0.596
Pr 0.000 0.258 0.000
Pr 0.000 0.742 0.742
Pr 0.000 0.000 0.258
Al 0.500 0.000 0.000
In 0.000 0.333 0.667
In 0.000 0.667 0.333
```

Output
Electronic total energy (eV per atom): -4.490
V (A^3/atom): 32.11
Spin magnetization (μB per atom): 0.124



## DySc2Zn4 (PBE)

Data for an optimized crystal structure of DySc2Zn4. Values from VASP.

Cell and atoms, written as Quantum ESPRESSO input:
```
&SYSTEM
  ibrav = 0, nat = 7, ntyp = 3
/
ATOMIC_SPECIES
Dy 162.50 Dy.upf
Sc 44.96 Sc.upf
Zn 65.41 Zn.upf
CELL_PARAMETERS angstrom
4.659 0.000 -1.485
-0.473 4.635 -1.485
-0.284 -0.315 7.159
ATOMIC_POSITIONS crystal
Dy 0.000 0.000 0.000
Sc 0.737 0.737 0.475
Sc 0.263 0.263 0.525
Zn 0.375 0.875 0.751
Zn 0.875 0.375 0.751
Zn 0.625 0.125 0.249
Zn 0.125 0.625 0.249
```

Output
Electronic total energy (eV per atom): -3.324
V (A^3/atom): 21.46
Spin magnetization (μB per atom): 0.000



## Nd2Ge3SbPd4 (PBE)

Data for an optimized crystal structure of Nd2Ge3SbPd4. Values from VASP.

Cell and atoms, written as Quantum ESPRESSO input:
```
&SYSTEM
  ibrav = 0, nat = 10, ntyp = 4
/
ATOMIC_SPECIES
Nd 144.24 Nd.upf
Ge 72.64 Ge.upf
Sb 121.76 Sb.upf
Pd 106.42 Pd.upf
CELL_PARAMETERS angstrom
4.400 0.000 0.000
0.000 4.400 0.000
0.000 0.000 10.473
ATOMIC_POSITIONS crystal
Nd 0.500 0.000 0.237
Nd 0.000 0.500 0.763
Ge 0.000 0.000 0.500
Ge 0.500 0.000 0.876
Ge 0.000 0.500 0.124
Sb 0.500 0.500 0.500
Pd 0.500 0.500 0.000
Pd 0.000 0.000 0.000
Pd 0.500 0.000 0.642
Pd 0.000 0.500 0.358
```

Output
Electronic total energy (eV per atom): -5.623
V (A^3/atom): 20.27
Spin magnetization (μB per atom): 0.000
Uncorrected formation energy (kJ/mol of formula units): -766.5



## Cd2SiMo (PBE)

Data for an optimized crystal structure of Cd2SiMo. Values from VASP.

Cell and atoms, written as Quantum ESPRESSO input:
```
&SYSTEM
  ibrav = 0, nat = 4, ntyp = 3
/
ATOMIC_SPECIES
Cd 112.41 Cd.upf
Mo 95.94 Mo.upf
Si 28.09 Si.upf
CELL_PARAMETERS angstrom
5.286 0.001 0.000
-2.518 4.648 0.000
0.000 0.000 2.940
ATOMIC_POSITIONS crystal
Cd 0.000 0.000 0.000
Cd 0.500 0.500 0.000
Mo 0.500 0.000 0.500
Si 0.000 0.500 0.500
```

Output
Electronic total energy (eV per atom): -4.094
V (A^3/atom): 18.06
Spin magnetization (μB per atom): 0.000
Uncorrected formation energy (kJ/mol of formula units): 164.7



## AcTm5Tl4 (PBE)

Data for an optimized crystal structure of AcTm5Tl4. Values from VASP.

Cell and atoms, written as Quantum ESPRESSO input:
```
&SYSTEM
  ibrav = 0, nat = 10, ntyp = 3
/
ATOMIC_SPECIES
Ac 227.00 Ac.upf
Tm 168.93 Tm.upf
Tl 204.38 Tl.upf
CELL_PARAMETERS angstrom
3.600 0.000 0.000
0.000 3.600 0.000
0.000 0.000 21.961
ATOMIC_POSITIONS crystal
Ac 0.000 0.000 0.000
Tm 0.500 0.500 0.124
Tm 0.500 0.500 0.311
Tm 0.500 0.500 0.500
Tm 0.500 0.500 0.689
Tm 0.500 0.500 0.876
Tl 0.000 0.000 0.217
Tl 0.000 0.000 0.406
Tl 0.000 0.000 0.594
Tl 0.000 0.000 0.783
```

Output
Electronic total energy (eV per atom): -3.818
V (A^3/atom): 28.47
Spin magnetization (μB per atom): 0.006



## Rb3MgSn (PBE)

Data for an optimized crystal structure of Rb3MgSn. Values from VASP.

Cell and atoms, written as Quantum ESPRESSO input:
```
&SYSTEM
  ibrav = 0, nat = 10, ntyp = 3
/
ATOMIC_SPECIES
Rb 85.47 Rb.upf
Mg 24.30 Mg.upf
Sn 118.71 Sn.upf
CELL_PARAMETERS angstrom
9.696 -0.257 0.009
-2.900 9.255 -0.009
-3.844 -4.162 6.189
ATOMIC_POSITIONS crystal
Rb 0.771 0.015 0.182
Rb 0.167 0.411 0.182
Rb 0.833 0.589 0.818
Rb 0.727 0.484 0.211
Rb 0.229 0.985 0.818
Rb 0.273 0.516 0.789
Mg 0.683 0.860 0.542
Mg 0.317 0.140 0.458
Sn 0.626 0.119 0.745
Sn 0.374 0.881 0.255
```

Output
Electronic total energy (eV per atom): -1.664
V (A^3/atom): 55.09
Spin magnetization (μB per atom): 0.001
Distance to the lowest polymorph of the same formula (meV/atom): 0.0



## Mn2CdSnCl8 (PBE)

Data for an optimized crystal structure of Mn2CdSnCl8. Values from VASP.

Cell and atoms, written as Quantum ESPRESSO input:
```
&SYSTEM
  ibrav = 0, nat = 12, ntyp = 4
/
ATOMIC_SPECIES
Mn 54.94 Mn.upf
Cd 112.41 Cd.upf
Sn 118.71 Sn.upf
Cl 35.45 Cl.upf
CELL_PARAMETERS angstrom
-3.732 -0.299 5.185
1.427 -5.911 0.739
6.106 2.039 4.513
ATOMIC_POSITIONS crystal
Mn 0.500 0.500 0.757
Mn 0.500 0.500 0.243
Cd 0.000 0.000 0.000
Sn 0.000 0.000 0.500
Cl 0.182 0.756 0.235
Cl 0.662 0.719 0.000
Cl 0.818 0.244 0.235
Cl 0.818 0.244 0.765
Cl 0.338 0.281 0.000
Cl 0.182 0.756 0.765
Cl 0.651 0.708 0.500
Cl 0.349 0.292 0.500
```

Output
Electronic total energy (eV per atom): -4.191
V (A^3/atom): 25.66
Spin magnetization (μB per atom): 0.833
Uncorrected formation energy (kJ/mol of formula units): -1183.1



## KBa2CdPd (PBE)

Data for an optimized crystal structure of KBa2CdPd. Values from VASP.

Cell and atoms, written as Quantum ESPRESSO input:
```
&SYSTEM
  ibrav = 0, nat = 5, ntyp = 4
/
ATOMIC_SPECIES
K 39.10 K.upf
Ba 137.33 Ba.upf
Pd 106.42 Pd.upf
Cd 112.41 Cd.upf
CELL_PARAMETERS angstrom
6.161 0.000 0.000
0.000 6.161 0.000
0.000 0.000 6.161
ATOMIC_POSITIONS crystal
K 0.000 0.000 0.500
Ba 0.000 0.500 0.000
Ba 0.500 0.000 0.000
Pd 0.000 0.000 0.000
Cd 0.500 0.500 0.500
```

Output
Electronic total energy (eV per atom): -2.333
V (A^3/atom): 46.77
Spin magnetization (μB per atom): 0.000
Distance to the lowest polymorph of the same formula (meV/atom): 105.8



## InCuRh2 (PBE)

Data for an optimized crystal structure of InCuRh2. Values from VASP.

Cell and atoms, written as Quantum ESPRESSO input:
```
&SYSTEM
  ibrav = 0, nat = 4, ntyp = 3
/
ATOMIC_SPECIES
Cu 63.55 Cu.upf
In 114.82 In.upf
Rh 102.91 Rh.upf
CELL_PARAMETERS angstrom
-2.444 8.465 -1.190
-4.867 7.155 -2.038
-4.415 7.679 0.760
ATOMIC_POSITIONS crystal
Cu 0.504 0.504 0.504
In 0.750 0.750 0.750
Rh 0.997 0.997 0.997
Rh 0.249 0.249 0.249
```

Output
Electronic total energy (eV per atom): -5.201
V (A^3/atom): 15.70
Spin magnetization (μB per atom): 0.249



## Ac2ErTcO8 (PBE)

Data for an optimized crystal structure of Ac2ErTcO8. Values from VASP.

Cell and atoms, written as Quantum ESPRESSO input:
```
&SYSTEM
  ibrav = 0, nat = 12, ntyp = 4
/
ATOMIC_SPECIES
Ac 227.00 Ac.upf
Er 167.26 Er.upf
Tc 98.00 Tc.upf
O 16.00 O.upf
CELL_PARAMETERS angstrom
-2.464 -0.052 -3.950
4.538 -4.228 -0.951
-4.071 -4.827 1.851
ATOMIC_POSITIONS crystal
Ac 0.274 0.547 0.751
Ac 0.726 0.453 0.249
Er 0.000 0.000 0.500
Tc 0.000 0.000 0.000
O 0.163 0.852 0.193
O 0.722 0.725 0.969
O 0.754 0.067 0.236
O 0.837 0.148 0.807
O 0.278 0.275 0.031
O 0.246 0.933 0.764
O 0.765 0.653 0.556
O 0.235 0.347 0.444
```

Output
Electronic total energy (eV per atom): -7.785
V (A^3/atom): 15.44
Spin magnetization (μB per atom): 0.000
Uncorrected formation energy (kJ/mol of formula units): -2953.1



## BaCoPb2Cl8 (PBE)

Data for an optimized crystal structure of BaCoPb2Cl8. Values from VASP.

Cell and atoms, written as Quantum ESPRESSO input:
```
&SYSTEM
  ibrav = 0, nat = 12, ntyp = 4
/
ATOMIC_SPECIES
Ba 137.33 Ba.upf
Co 58.93 Co.upf
Pb 207.20 Pb.upf
Cl 35.45 Cl.upf
CELL_PARAMETERS angstrom
-2.388 6.024 1.419
-1.449 1.027 -6.198
-7.896 -3.430 1.276
ATOMIC_POSITIONS crystal
Ba 0.000 0.000 0.500
Co 0.000 0.000 0.000
Pb 0.500 0.500 0.773
Pb 0.500 0.500 0.227
Cl 0.154 0.785 0.203
Cl 0.697 0.764 0.000
Cl 0.846 0.215 0.203
Cl 0.846 0.215 0.797
Cl 0.303 0.236 0.000
Cl 0.154 0.785 0.797
Cl 0.632 0.727 0.500
Cl 0.368 0.273 0.500
```

Output
Electronic total energy (eV per atom): -3.882
V (A^3/atom): 31.01
Spin magnetization (μB per atom): 0.250
Uncorrected formation energy (kJ/mol of formula units): -1482.8



## LiNp4Ta3N8 (PBE)

Data for an optimized crystal structure of LiNp4Ta3N8. Values from VASP.

Cell and atoms, written as Quantum ESPRESSO input:
```
&SYSTEM
  ibrav = 0, nat = 16, ntyp = 4
/
ATOMIC_SPECIES
Li 6.94 Li.upf
Np 237.00 Np.upf
Ta 180.95 Ta.upf
N 14.01 N.upf
CELL_PARAMETERS angstrom
-4.491 2.995 -3.529
-4.719 -3.180 3.306
4.368 3.448 3.260
ATOMIC_POSITIONS crystal
Li 0.000 0.500 0.000
Np 0.500 0.000 0.000
Np 0.500 0.000 0.500
Np 0.000 0.000 0.000
Np 0.000 0.000 0.500
Ta 0.500 0.500 0.000
Ta 0.500 0.500 0.500
Ta 0.000 0.500 0.500
N 0.245 0.722 0.977
N 0.245 0.722 0.490
N 0.260 0.281 0.521
N 0.731 0.722 0.977
N 0.269 0.278 0.023
N 0.740 0.719 0.479
N 0.755 0.278 0.510
N 0.755 0.278 0.023
```

Output
Electronic total energy (eV per atom): -10.839
V (A^3/atom): 12.22
Spin magnetization (μB per atom): 0.745
Uncorrected formation energy (kJ/mol of formula units): -1696.4



## Na2CaSnF (PBE)

Data for an optimized crystal structure of Na2CaSnF. Values from VASP.

Cell and atoms, written as Quantum ESPRESSO input:
```
&SYSTEM
  ibrav = 0, nat = 5, ntyp = 4
/
ATOMIC_SPECIES
Na 22.99 Na.upf
Ca 40.08 Ca.upf
Sn 118.71 Sn.upf
F 19.00 F.upf
CELL_PARAMETERS angstrom
-1.024 1.886 4.309
-4.700 -0.589 -0.859
0.193 -4.444 1.991
ATOMIC_POSITIONS crystal
Na 0.000 0.500 0.000
Na 0.500 0.000 0.000
Ca 0.000 0.000 0.500
Sn 0.500 0.500 0.500
F 0.000 0.000 0.000
```

Output
Electronic total energy (eV per atom): -3.411
V (A^3/atom): 22.58
Spin magnetization (μB per atom): 0.000
Uncorrected formation energy (kJ/mol of formula units): -631.1